Entry 1:
Material: CoMoBr2
Method: DFT, PBE
State: optimized geometry

uncorrected formation energy: 0.264 eV per atom
energy: -5.06 eV per atom
calculated volume: 21.81 Å³/atom
M_tot: 1.00 μB/f.u.
E above lowest polymorph: 0.77 eV per formula unit

```
CoMoBr2
1.0
3.280 0.015 0.000
-0.895 3.156 0.000
0.000 0.000 8.417
Br Co Mo
2 1 1
direct
0.000 0.000 0.916
0.500 0.500 0.360
0.000 0.000 0.541
0.500 0.500 0.683
```

Entry 2:
Material: Co2MoBr
Method: DFT, PBE
State: optimized geometry

uncorrected formation energy: 0.759 eV per atom
energy: -5.92 eV per atom
calculated volume: 14.88 Å³/atom
M_tot: 1.78 μB/f.u.
E above lowest polymorph: 1.19 eV per formula unit

```
Co2MoBr
1.0
4.560 0.022 -0.131
3.602 2.795 -0.131
0.301 0.104 4.690
Br Co Mo
1 2 1
direct
0.250 0.250 0.250
0.022 0.022 0.950
0.478 0.478 0.550
0.750 0.750 0.750
```